Material: GeP2BrO
Method: DFT, SCAN
State: PBEsol geometry

```
GeP2BrO
1.0
-0.005 1.849 3.080
-2.472 -3.624 2.171
4.225 -2.117 1.278
P Ge O Br
2 1 1 1
Direct
0.000 0.000 0.500
0.000 0.500 0.000
0.000 0.000 0.000
0.500 0.000 0.000
0.500 0.500 0.500
```

Symmetry   P4/mmm (123)
Raw total energy   -12.63 eV/atom
E_form (uncorrected)   2.4 eV per formula unit